# Tb3MgSb4

A relaxed Tb3MgSb4 crystal (PBE-GGA, Alexandria via LeMat-Bulk).

Output
ΔE_f (raw): -0.84 eV per atom
total DFT energy (no corrections): -4.841 eV per atom

a = 6.2028 Å, b = 6.2028 Å, c = 6.2028 Å
α = 90.00°, β = 90.00°, γ = 90.00°
Last column: nearest neighbours and their distance in Å.
Space group Pm-3m (No. 221)
Unique sites:
Tb1 0.0000 0.0000 0.5000 [3 per cell]  6 Sb 3.10
Mg1 0.5000 0.5000 0.5000 [1 per cell]  6 Sb 3.10
Sb1 0.0000 0.0000 0.0000 [1 per cell]  6 Tb 3.10
Sb2 0.0000 0.5000 0.5000 [3 per cell]  4 Tb 3.10, 2 Mg 3.10



# TbMgSb3

A relaxed TbMgSb3 crystal (PBE-GGA, Alexandria via LeMat-Bulk).

Output
ΔE_f (raw): -0.52 eV per atom
total DFT energy (no corrections): -4.241 eV per atom

a = 13.5415 Å, b = 6.1942 Å, c = 6.2951 Å
α = 90.00°, β = 90.00°, γ = 90.00°
Last column: nearest neighbours and their distance in Å.
Space group Pbcm (No. 57)
Unique sites:
Tb1 0.1767 0.0074 0.2500 [4 per cell]  9 Sb 3.17-3.43
Mg1 0.3927 0.7500 0.0000 [4 per cell]  6 Sb 3.00-3.12, 2 Mg 3.15
Sb1 0.0027 0.7500 0.0000 [4 per cell]  4 Sb 3.10-3.15, 4 Tb 3.25-3.26
Sb2 0.2426 0.0012 0.7500 [4 per cell]  2 Mg 3.00, 1 Sb 3.07, 4 Tb 3.17-3.27
Sb3 0.4173 0.1824 0.2500 [4 per cell]  4 Mg 3.05-3.12, 3 Sb 3.07-3.26



# Tb8MgSb6

A relaxed Tb8MgSb6 crystal (PBE-GGA, Alexandria via LeMat-Bulk).

Output
ΔE_f (raw): -0.80 eV per atom
total DFT energy (no corrections): -5.023 eV per atom

a = 9.1092 Å, b = 9.1092 Å, c = 18.8878 Å
α = 90.00°, β = 90.00°, γ = 120.00°
Last column: nearest neighbours and their distance in Å.
Space group R-3 (No. 148, hexagonal axes)
Unique sites:
Tb1 0.0000 0.0000 0.1686 [6 per cell]  6 Sb 3.18-3.24
Tb2 0.0039 0.2871 0.5947 [18 per cell]  5 Sb 3.07-3.30, 1 Mg 3.15
Mg1 0.0000 0.0000 0.5000 [3 per cell]  6 Tb 3.15
Sb1 0.0021 0.3714 0.4247 [18 per cell]  7 Tb 3.07-3.30



# Tb5MgSb2

A relaxed Tb5MgSb2 crystal (PBE-GGA, Alexandria via LeMat-Bulk).

Output
ΔE_f (raw): -0.41 eV per atom
total DFT energy (no corrections): -4.535 eV per atom

a = 4.0058 Å, b = 11.7645 Å, c = 19.3514 Å
α = 90.00°, β = 90.00°, γ = 90.00°
Last column: nearest neighbours and their distance in Å.
Space group Cmcm (No. 63)
Unique sites:
Tb1 0.0000 0.0533 0.1075 [8 per cell]  1 Mg 3.01, 2 Sb 3.31
Tb2 0.0000 0.3568 0.0279 [8 per cell]  2 Sb 3.23, 7 Tb 3.39-3.54
Tb3 0.0000 0.4168 0.2500 [4 per cell]  1 Mg 3.07, 4 Sb 3.33
Mg1 0.0000 0.1556 0.2500 [4 per cell]  3 Tb 3.01-3.07, 4 Sb 3.12
Sb1 0.0000 0.2326 0.6468 [8 per cell]  2 Mg 3.12, 7 Tb 3.23-3.45



# Mg2TcSb

A relaxed Mg2TcSb crystal (PBE-GGA, Alexandria via LeMat-Bulk).

Output
ΔE_f (raw): 0.20 eV per atom
total DFT energy (no corrections): -4.217 eV per atom
energy above the most stable polymorph in this dataset: 21.00 kJ per mole of atoms

a = 5.6612 Å, b = 8.8311 Å, c = 3.0397 Å
α = 90.00°, β = 90.00°, γ = 90.00°
Last column: nearest neighbours and their distance in Å.
Space group Cmmm (No. 65)
Unique sites:
Mg1 0.2500 0.2500 0.0000 [4 per cell]  4 Mg 2.83-3.04, 4 Tc 3.03, 4 Sb 3.03
Tc1 0.0000 0.0000 0.5000 [2 per cell]  2 Sb 2.83, 8 Mg 3.03, 2 Tc 3.04
Sb1 0.0000 0.5000 0.5000 [2 per cell]  2 Tc 2.83, 8 Mg 3.03, 2 Sb 3.04



# Mg2TcSb

A relaxed Mg2TcSb crystal (PBE-GGA, Alexandria via LeMat-Bulk).

Output
ΔE_f (raw): 0.19 eV per atom
total DFT energy (no corrections): -4.226 eV per atom
energy above the most stable polymorph in this dataset: 20.14 kJ per mole of atoms

a = 3.0725 Å, b = 3.0725 Å, c = 8.6925 Å
α = 90.00°, β = 90.00°, γ = 90.00°
Last column: nearest neighbours and their distance in Å.
Space group P4/mmm (No. 123)
Unique sites:
Mg1 0.0000 0.0000 0.2088 [2 per cell]  4 Tc 2.83, 4 Mg 3.07
Tc1 0.5000 0.5000 0.0000 [1 per cell]  8 Mg 2.83, 4 Tc 3.07
Sb1 0.5000 0.5000 0.5000 [1 per cell]  4 Sb 3.07, 8 Mg 3.34



# Mg4TcSb

A relaxed Mg4TcSb crystal (PBE-GGA, Alexandria via LeMat-Bulk).

Output
ΔE_f (raw): 0.36 eV per atom
total DFT energy (no corrections): -3.115 eV per atom

a = 7.7805 Å, b = 7.7805 Å, c = 7.7805 Å
α = 90.00°, β = 90.00°, γ = 90.00°
Last column: nearest neighbours and their distance in Å.
Space group F-43m (No. 216)
Unique sites:
Mg1 0.1238 0.1238 0.3762 [16 per cell]  6 Mg 2.73-2.78
Tc1 0.2500 0.2500 0.7500 [4 per cell]  12 Mg 3.22, 4 Sb 3.37
Sb1 0.0000 0.0000 0.0000 [4 per cell]  12 Mg 3.23, 4 Tc 3.37



# Mg2TcSb

A relaxed Mg2TcSb crystal (PBE-GGA, Alexandria via LeMat-Bulk).

Output
ΔE_f (raw): 0.11 eV per atom
total DFT energy (no corrections): -4.310 eV per atom
energy above the most stable polymorph in this dataset: 12.07 kJ per mole of atoms

a = 4.2499 Å, b = 4.2499 Å, c = 4.0465 Å
α = 90.00°, β = 90.00°, γ = 90.00°
Last column: nearest neighbours and their distance in Å.
Space group P4/mmm (No. 123)
Unique sites:
Mg1 0.0000 0.5000 0.0000 [2 per cell]  4 Sb 2.93, 4 Tc 2.93, 4 Mg 3.01
Tc1 0.0000 0.0000 0.5000 [1 per cell]  8 Mg 2.93, 4 Sb 3.01
Sb1 0.5000 0.5000 0.5000 [1 per cell]  8 Mg 2.93, 4 Tc 3.01



# Mg2TcSb

A relaxed Mg2TcSb crystal (PBE-GGA, Alexandria via LeMat-Bulk).

Output
ΔE_f (raw): -0.02 eV per atom
total DFT energy (no corrections): -4.435 eV per atom
energy above the most stable polymorph in this dataset: 0.00 kJ per mole of atoms

a = 3.4682 Å, b = 3.4682 Å, c = 6.2987 Å
α = 90.00°, β = 90.00°, γ = 90.00°
Last column: nearest neighbours and their distance in Å.
Space group P4mm (No. 99)
Unique sites:
Mg1 0.0000 0.0000 0.0000 [1 per cell]  1 Sb 2.84, 4 Tc 2.88, 4 Mg 2.99
Mg2 0.5000 0.5000 0.2710 [1 per cell]  4 Mg 2.99, 4 Sb 3.01, 2 Tc 3.08-3.22
Tc1 0.5000 0.5000 0.7601 [1 per cell]  4 Sb 2.79, 5 Mg 2.88-3.08
Sb1 0.0000 0.0000 0.5489 [1 per cell]  4 Tc 2.79, 5 Mg 2.84-3.01



# Mg2TcSb

A relaxed Mg2TcSb crystal (PBE-GGA, Alexandria via LeMat-Bulk).

Output
ΔE_f (raw): 0.27 eV per atom
total DFT energy (no corrections): -4.150 eV per atom
energy above the most stable polymorph in this dataset: 27.45 kJ per mole of atoms

a = 3.4660 Å, b = 5.1495 Å, c = 9.3993 Å
α = 90.00°, β = 90.00°, γ = 90.00°
Last column: nearest neighbours and their distance in Å.
Space group Cmm2 (No. 35)
Unique sites:
Mg1 0.0000 0.0000 0.0000 [2 per cell]  8 Mg 3.10-3.47, 2 Sb 3.24
Mg2 0.0000 0.5000 0.2761 [2 per cell]  2 Tc 2.72
Tc1 0.0000 0.0000 0.4992 [2 per cell]  2 Sb 2.63, 2 Mg 2.72
Sb1 0.0000 0.5000 0.7091 [2 per cell]  2 Tc 2.63



# Mg2TcSb

A relaxed Mg2TcSb crystal (PBE-GGA, Alexandria via LeMat-Bulk).

Output
ΔE_f (raw): 0.09 eV per atom
total DFT energy (no corrections): -4.328 eV per atom
energy above the most stable polymorph in this dataset: 10.27 kJ per mole of atoms

a = 4.0154 Å, b = 4.0154 Å, c = 9.1972 Å
α = 90.00°, β = 90.00°, γ = 90.00°
Last column: nearest neighbours and their distance in Å.
Space group I4/mmm (No. 139)
Unique sites:
Mg1 0.0000 0.5000 0.2500 [4 per cell]  4 Mg 2.84, 4 Tc 3.05, 4 Sb 3.05
Tc1 0.0000 0.0000 0.0000 [2 per cell]  4 Sb 2.84, 8 Mg 3.05
Sb1 0.0000 0.0000 0.5000 [2 per cell]  4 Tc 2.84, 8 Mg 3.05



# Mg2TcSb

A relaxed Mg2TcSb crystal (PBE-GGA, Alexandria via LeMat-Bulk).

Output
ΔE_f (raw): 0.14 eV per atom
total DFT energy (no corrections): -4.282 eV per atom
energy above the most stable polymorph in this dataset: 14.76 kJ per mole of atoms

a = 3.1140 Å, b = 4.5861 Å, c = 5.7291 Å
α = 90.00°, β = 105.66°, γ = 90.00°
Last column: nearest neighbours and their distance in Å.
Space group Pm (No. 6)
Unique sites:
Mg1 0.0000 0.0000 0.0000 [1 per cell]  3 Tc 2.81-3.12, 4 Sb 3.08, 2 Mg 3.11
Mg2 0.3483 0.5000 0.7006 [1 per cell]  3 Sb 2.97-2.99, 4 Tc 3.00-3.01, 6 Mg 3.11-3.23
Tc1 0.7442 0.0000 0.4901 [1 per cell]  2 Sb 2.67, 1 Mg 2.81
Sb1 0.6213 0.5000 0.2423 [1 per cell]  2 Tc 2.67, 3 Mg 2.97-2.99



# Mg2TcSb

A relaxed Mg2TcSb crystal (PBE-GGA, Alexandria via LeMat-Bulk).

Output
ΔE_f (raw): 0.46 eV per atom
total DFT energy (no corrections): -3.957 eV per atom
energy above the most stable polymorph in this dataset: 46.07 kJ per mole of atoms

a = 9.1847 Å, b = 9.1847 Å, c = 5.0730 Å
α = 90.00°, β = 90.00°, γ = 90.00°
Last column: nearest neighbours and their distance in Å.
Space group I-42d (No. 122)
Unique sites:
Mg1 0.1239 0.2500 0.1250 [8 per cell]  2 Tc 2.64
Tc1 0.0000 0.0000 0.0000 [4 per cell]  2 Sb 2.54, 4 Mg 2.64
Sb1 0.0000 0.0000 0.5000 [4 per cell]  2 Tc 2.54



# Mg3TcSb

A relaxed Mg3TcSb crystal (PBE-GGA, Alexandria via LeMat-Bulk).

Output
ΔE_f (raw): 0.71 eV per atom
total DFT energy (no corrections): -3.141 eV per atom
energy above the most stable polymorph in this dataset: 0.00 kJ per mole of atoms

a = 5.0140 Å, b = 5.0140 Å, c = 5.0140 Å
α = 90.00°, β = 90.00°, γ = 90.00°
Last column: nearest neighbours and their distance in Å.
Space group Pm-3m (No. 221)
Unique sites:
Mg1 0.0000 0.0000 0.5000 [3 per cell]  2 Tc 2.51
Tc1 0.0000 0.0000 0.0000 [1 per cell]  6 Mg 2.51
Sb1 0.5000 0.5000 0.5000 [1 per cell]  12 Mg 3.55



# Mg2TcSb

A relaxed Mg2TcSb crystal (PBE-GGA, Alexandria via LeMat-Bulk).

Output
ΔE_f (raw): 0.18 eV per atom
total DFT energy (no corrections): -4.237 eV per atom
energy above the most stable polymorph in this dataset: 19.08 kJ per mole of atoms

a = 6.6383 Å, b = 6.6383 Å, c = 6.6383 Å
α = 90.00°, β = 90.00°, γ = 90.00°
Last column: nearest neighbours and their distance in Å.
Space group F-43m (No. 216)
Unique sites:
Mg1 0.0000 0.0000 0.0000 [4 per cell]  4 Sb 2.87, 4 Mg 2.87
Mg2 0.2500 0.2500 0.2500 [4 per cell]  4 Tc 2.87, 4 Mg 2.87
Tc1 0.0000 0.0000 0.5000 [4 per cell]  4 Sb 2.87, 4 Mg 2.87
Sb1 0.2500 0.2500 0.7500 [4 per cell]  4 Tc 2.87, 4 Mg 2.87



# Mg2TcSb

A relaxed Mg2TcSb crystal (PBE-GGA, Alexandria via LeMat-Bulk).

Output
ΔE_f (raw): 0.12 eV per atom
total DFT energy (no corrections): -4.295 eV per atom
energy above the most stable polymorph in this dataset: 13.45 kJ per mole of atoms

a = 3.6068 Å, b = 3.6976 Å, c = 5.6498 Å
α = 90.00°, β = 90.00°, γ = 90.00°
Last column: nearest neighbours and their distance in Å.
Space group Pmmm (No. 47)
Unique sites:
Mg1 0.0000 0.0000 0.2287 [2 per cell]  1 Mg 2.58, 4 Tc 2.89
Tc1 0.5000 0.5000 0.0000 [1 per cell]  2 Sb 2.82, 8 Mg 2.89
Sb1 0.5000 0.5000 0.5000 [1 per cell]  2 Tc 2.82, 8 Mg 3.00



# MgTcSb3

A relaxed MgTcSb3 crystal (PBE-GGA, Alexandria via LeMat-Bulk).

Output
ΔE_f (raw): 1.24 eV per atom
total DFT energy (no corrections): -3.621 eV per atom
energy above the most stable polymorph in this dataset: 80.52 kJ per mole of atoms

a = 5.2892 Å, b = 5.2892 Å, c = 5.2892 Å
α = 90.00°, β = 90.00°, γ = 90.00°
Last column: nearest neighbours and their distance in Å.
Space group Pm-3m (No. 221)
Unique sites:
Mg1 0.0000 0.0000 0.0000 [1 per cell]  6 Sb 2.64
Tc1 0.5000 0.5000 0.5000 [1 per cell]  12 Sb 3.74
Sb1 0.0000 0.0000 0.5000 [3 per cell]  2 Mg 2.64



# Mg2TcSb

A relaxed Mg2TcSb crystal (PBE-GGA, Alexandria via LeMat-Bulk).

Output
ΔE_f (raw): 0.26 eV per atom
total DFT energy (no corrections): -4.155 eV per atom
energy above the most stable polymorph in this dataset: 26.97 kJ per mole of atoms

a = 3.1806 Å, b = 3.1806 Å, c = 27.4190 Å
α = 90.00°, β = 90.00°, γ = 120.00°
Last column: nearest neighbours and their distance in Å.
Space group R-3m (No. 166, hexagonal axes)
Unique sites:
Mg1 0.0000 0.0000 0.2432 [6 per cell]  3 Tc 2.79, 3 Sb 3.08
Tc1 0.0000 0.0000 0.5000 [3 per cell]  6 Mg 2.79
Sb1 0.0000 0.0000 0.0000 [3 per cell]  6 Mg 3.08, 6 Sb 3.18



# Mg2TcSb

A relaxed Mg2TcSb crystal (PBE-GGA, Alexandria via LeMat-Bulk).

Output
ΔE_f (raw): 0.37 eV per atom
total DFT energy (no corrections): -4.048 eV per atom
energy above the most stable polymorph in this dataset: 37.32 kJ per mole of atoms

a = 6.6787 Å, b = 6.6787 Å, c = 6.6787 Å
α = 90.00°, β = 90.00°, γ = 90.00°
Last column: nearest neighbours and their distance in Å.
Space group Fm-3m (No. 225)
Unique sites:
Mg1 0.2500 0.2500 0.2500 [8 per cell]  4 Sb 2.89, 4 Tc 2.89
Tc1 0.0000 0.0000 0.0000 [4 per cell]  8 Mg 2.89
Sb1 0.0000 0.0000 0.5000 [4 per cell]  8 Mg 2.89



# MgTcSb3

A relaxed MgTcSb3 crystal (PBE-GGA, Alexandria via LeMat-Bulk).

Output
ΔE_f (raw): 0.41 eV per atom
total DFT energy (no corrections): -4.456 eV per atom
energy above the most stable polymorph in this dataset: 0.00 kJ per mole of atoms

a = 5.1996 Å, b = 5.1996 Å, c = 5.1996 Å
α = 90.00°, β = 90.00°, γ = 90.00°
Last column: nearest neighbours and their distance in Å.
Space group Pm-3m (No. 221)
Unique sites:
Mg1 0.0000 0.0000 0.0000 [1 per cell]  12 Sb 3.68
Tc1 0.5000 0.5000 0.5000 [1 per cell]  6 Sb 2.60
Sb1 0.0000 0.5000 0.5000 [3 per cell]  2 Tc 2.60